1.
The following is a PBE-GGA calculation of a geometry-optimized CsNdAgF6 structure, from Alexandria.

Cell and atoms, written as POSCAR:
```
CsNdAgF6
1.0
-1.0485 7.4852 -4.1431
-7.8977 -1.4350 -0.5939
3.5652 -0.2202 7.6657
F Cs Nd Ag
12 2 2 2
Direct
0.5359 0.2859 0.0718 F
0.4578 0.6705 0.2808 F
0.4641 0.7141 0.9282 F
0.4578 0.1103 0.2808 F
0.5422 0.8897 0.7192 F
0.8230 0.1103 0.2808 F
0.1770 0.8897 0.7192 F
0.5422 0.3295 0.7192 F
0.8230 0.6705 0.2808 F
0.8201 0.0701 0.6402 F
0.1799 0.9299 0.3598 F
0.1770 0.3295 0.7192 F
0.2091 0.4591 0.4181 Cs
0.7909 0.5409 0.5819 Cs
0.5000 0.0000 0.5000 Nd
0.0000 0.0000 0.5000 Nd
0.5000 0.5000 0.0000 Ag
0.5000 0.0000 0.0000 Ag
```

Results
* space-group type: Imma (74)
* raw formation energy: -24.87 eV/f.u.
* total energy: -4.952 eV per atom
* crystal system: orthorhombic



2.
The following is a PBE-GGA calculation of a geometry-optimized Na2Cd9Ag3 structure, from Alexandria.

Cell and atoms, written as POSCAR:
```
Na2Cd9Ag3
1.0
-6.8932 -0.0853 -4.8549
7.6574 -0.2483 -3.5208
1.8430 -10.3783 4.8108
Ag Cd Na
6 18 4
Direct
0.5000 0.0000 0.0000 Ag
0.8479 0.1743 0.5002 Ag
0.1521 0.8257 0.4998 Ag
0.8259 0.6524 0.0002 Ag
0.5000 0.5000 0.5000 Ag
0.1741 0.3476 0.9998 Ag
0.2164 0.5259 0.5717 Cd
0.5472 0.0807 0.2523 Cd
0.1222 0.9779 0.9317 Cd
0.4539 0.8095 0.4317 Cd
0.1218 0.1421 0.4302 Cd
0.8782 0.8579 0.5698 Cd
0.4528 0.9193 0.7477 Cd
0.8828 0.1328 0.7500 Cd
0.7836 0.4741 0.4283 Cd
0.6716 0.7051 0.7523 Cd
0.5457 0.3552 0.0717 Cd
0.1172 0.8672 0.2500 Cd
0.7880 0.3084 0.9302 Cd
0.8778 0.0221 0.0683 Cd
0.5461 0.1905 0.5683 Cd
0.4543 0.6448 0.9283 Cd
0.3284 0.2949 0.2477 Cd
0.2120 0.6916 0.0698 Cd
0.3357 0.2512 0.7506 Na
0.9995 0.4149 0.2506 Na
0.0005 0.5851 0.7494 Na
0.6643 0.7488 0.2494 Na
```

Results
* space-group type: C2/c (15)
* total energy: -1.461 eV per atom
* energy of formation from the pure elements: -98.5 kJ/mol of formula units
* crystal system: monoclinic



3.
The following is a PBE-GGA calculation of a geometry-optimized Be2Nb3B4 structure, from Alexandria.

Cell and atoms, written as POSCAR:
```
Be2Nb3B4
1.0
3.2206 0.0000 0.0000
-1.6103 4.2184 -0.9078
0.0000 0.2205 6.4845
Nb B Be
3 4 2
Direct
0.3342 0.6685 0.3311 Nb
0.6658 0.3315 0.6689 Nb
0.0000 0.0000 0.0000 Nb
0.9472 0.8944 0.6052 B
0.0528 0.1056 0.3948 B
0.7239 0.4478 0.0491 B
0.2761 0.5522 0.9509 B
0.6115 0.2230 0.2769 Be
0.3885 0.7770 0.7231 Be
```

Results
* space-group type: C2/m (12)
* total energy: -7.861 eV per atom
* energy of formation from the pure elements: -615.2 kJ/mol of formula units
* crystal system: monoclinic



4.
The following is a PBE-GGA calculation of a geometry-optimized TlHSe2N structure, from Alexandria.

Cell and atoms, written as POSCAR:
```
TlHSe2N
1.0
3.8485 0.0000 0.0000
0.0000 3.8485 0.0000
0.0000 0.0000 6.7268
Se H N Tl
2 1 1 1
Direct
0.0000 0.5000 0.0000 Se
0.5000 0.0000 0.0000 Se
0.0000 0.0000 0.0000 H
0.0000 0.0000 0.5000 N
0.5000 0.5000 0.5000 Tl
```

Results
* space-group type: P4/mmm (123)
* total energy: -3.137 eV per atom
* crystal system: tetragonal



5.
The following is a PBE-GGA calculation of a geometry-optimized Hf6FeTc structure, from Alexandria.

Cell and atoms, written as POSCAR:
```
Hf6FeTc
1.0
-1.1269 -2.4069 -4.7558
0.0379 -5.5121 1.7084
-5.2886 -4.9434 0.7033
Hf Fe Tc
6 1 1
Direct
0.6728 0.9321 0.8398 Hf
0.8404 0.5554 0.6730 Hf
0.7465 0.2384 0.2531 Hf
0.2535 0.7616 0.7469 Hf
0.1596 0.4446 0.3270 Hf
0.3272 0.0679 0.1602 Hf
0.0000 0.0000 0.0000 Fe
0.5000 0.5000 0.5000 Tc
```

Results
* space-group type: C2/m (12)
* total energy: -9.848 eV per atom
* energy of formation from the pure elements: -23.0 kJ/mol of formula units
* crystal system: monoclinic



6.
The following is a PBE-GGA calculation of a geometry-optimized BaSnP2Cl structure, from Alexandria.

Cell and atoms, written as POSCAR:
```
BaSnP2Cl
1.0
-2.6883 -1.4295 4.7349
4.9148 -1.3761 2.3750
0.5577 5.2995 1.9165
Ba P Cl Sn
1 2 1 1
Direct
0.0000 0.0000 0.0000 Ba
0.0000 0.5000 0.0000 P
0.5000 0.0000 0.0000 P
0.0000 0.0000 0.5000 Cl
0.5000 0.5000 0.5000 Sn
```

Results
* space-group type: P4/mmm (123)
* raw formation energy: 2.56 eV/f.u.
* total energy: -3.206 eV per atom
* crystal system: tetragonal



7.
The following is a PBE-GGA calculation of a geometry-optimized TbAlFeSi2 structure, from Alexandria.

Cell and atoms, written as POSCAR:
```
TbAlFeSi2
1.0
-1.1004 2.2584 4.9444
-4.7865 -2.5325 0.0915
2.3031 -4.2642 2.4603
Si Tb Fe Al
4 2 2 2
Direct
0.7499 0.2500 0.7488 Si
0.2501 0.7500 0.2512 Si
0.2501 0.7500 0.7488 Si
0.7499 0.2500 0.2512 Si
0.7765 0.7500 0.5000 Tb
0.2235 0.2500 0.5000 Tb
0.0000 0.0000 0.0000 Fe
0.0000 0.5000 0.0000 Fe
0.3634 0.2500 0.0000 Al
0.6366 0.7500 0.0000 Al
```

Results
* space-group type: Pmma (51)
* raw formation energy: -2.42 eV/f.u.
* total energy: -6.020 eV per atom
* crystal system: orthorhombic



8.
The following is a PBE-GGA calculation of a geometry-optimized CdSi3O structure, from Alexandria.

Cell and atoms, written as POSCAR:
```
CdSi3O
1.0
4.3026 0.0000 0.0000
0.0000 4.3026 0.0000
0.0000 0.0000 4.3026
Si Cd O
3 1 1
Direct
0.0000 0.0000 0.5000 Si
0.0000 0.5000 0.0000 Si
0.5000 0.0000 0.0000 Si
0.5000 0.5000 0.5000 Cd
0.0000 0.0000 0.0000 O
```

Results
* space-group type: Pm-3m (221)
* raw formation energy: 1.21 eV/f.u.
* total energy: -4.187 eV per atom
* crystal system: cubic



9.
The following is a PBE-GGA calculation of a geometry-optimized Al4MoRu structure, from Alexandria.

Cell and atoms, written as POSCAR:
```
Al4MoRu
1.0
0.0000 3.5292 3.5292
3.5292 0.0000 3.5292
3.5292 3.5292 0.0000
Mo Al Ru
1 4 1
Direct
0.7500 0.7500 0.7500 Mo
0.3749 0.3749 0.8752 Al
0.3749 0.8752 0.3749 Al
0.8752 0.3749 0.3749 Al
0.3749 0.3749 0.3749 Al
0.0000 0.0000 0.0000 Ru
```

Results
* space-group type: F-43m (216)
* total energy: -5.818 eV per atom
* energy of formation from the pure elements: 16.4 kJ/mol of formula units
* crystal system: cubic



10.
The following is a PBE-GGA calculation of a geometry-optimized Y2SCl structure, from Alexandria.

Cell and atoms, written as POSCAR:
```
Y2SCl
1.0
-2.7521 2.5429 -0.2099
-3.3819 -0.9969 -1.2858
-4.1691 -1.2121 6.4285
Cl Y S
1 2 1
Direct
0.4976 0.4976 0.5073 Cl
0.0714 0.0714 0.7857 Y
0.2641 0.2641 0.2077 Y
0.6669 0.6669 0.9993 S
```

Results
* space-group type: R3m (160)
* raw formation energy: -6.32 eV/f.u.
* total energy: -6.305 eV per atom
* crystal system: trigonal



11.
The following is a PBE-GGA calculation of a geometry-optimized ErTlIn2Br6 structure, from Alexandria.

Cell and atoms, written as POSCAR:
```
ErTlIn2Br6
1.0
-6.4114 -3.3308 -3.6914
0.9681 -4.0021 -6.9935
-0.7706 -8.3607 -0.0317
Br Er In Tl
6 1 2 1
Direct
0.9880 0.5606 0.2422 Br
0.4245 0.6712 0.7759 Br
0.5604 0.2092 0.2422 Br
0.2089 0.9882 0.2426 Br
0.6713 0.1278 0.7762 Br
0.1282 0.4244 0.7758 Br
0.3236 0.3236 0.0288 Er
0.0164 0.0165 0.9509 In
0.5257 0.5254 0.4242 In
0.8145 0.8146 0.5564 Tl
```

Results
* space-group type: R3 (146)
* raw formation energy: -11.89 eV/f.u.
* total energy: -3.433 eV per atom
* crystal system: trigonal



12.
The following is a PBE-GGA calculation of a geometry-optimized PmBe3Rh structure, from Alexandria.

Cell and atoms, written as POSCAR:
```
PmBe3Rh
1.0
4.2786 0.0000 0.0000
0.0000 4.2786 0.0000
0.0000 0.0000 4.2786
Rh Be Pm
1 3 1
Direct
0.0000 0.0000 0.0000 Rh
0.0000 0.5000 0.0000 Be
0.5000 0.0000 0.0000 Be
0.0000 0.0000 0.5000 Be
0.5000 0.5000 0.5000 Pm
```

Results
* space-group type: Pm-3m (221)
* total energy: -4.903 eV per atom
* energy of formation from the pure elements: -118.9 kJ/mol of formula units
* crystal system: cubic